[1]
Entry from the Alexandria database: a relaxed structure of BaPmSn4 (GGA-PBE).

Geometry as CIF:
```
data_BaPmSn4
_chemical_formula_sum 'Ba4 Pm4 Sn16'
_space_group_name_H-M_alt 'F -4 3 m'
_space_group_IT_number 216
_space_group_name_Hall 'F -4 2 3'
_cell_length_a 9.020
_cell_length_b 9.020
_cell_length_c 9.020
_cell_angle_alpha 90.00
_cell_angle_beta 90.00
_cell_angle_gamma 90.00
loop_
_atom_site_label
_atom_site_type_symbol
_atom_site_fract_x
_atom_site_fract_y
_atom_site_fract_z
_atom_site_occupancy
Ba1 Ba 0.000 0.000 0.000 1
Pm1 Pm 0.250 0.250 0.250 1
Sn1 Sn 0.124 0.124 0.624 1
```

Results
Size of the total moment in μB per formula unit: 0.03
Formation energy in eV/atom: -0.391
Density in g/cm³: 6.854



[2]
Entry from the Alexandria database: a relaxed structure of Al4CdSi (GGA-PBE).

Geometry as CIF:
```
data_Al4CdSi
_chemical_formula_sum 'Al16 Cd4 Si4'
_space_group_name_H-M_alt 'F -4 3 m'
_space_group_IT_number 216
_space_group_name_Hall 'F -4 2 3'
_cell_length_a 7.635
_cell_length_b 7.635
_cell_length_c 7.635
_cell_angle_alpha 90.00
_cell_angle_beta 90.00
_cell_angle_gamma 90.00
loop_
_atom_site_label
_atom_site_type_symbol
_atom_site_fract_x
_atom_site_fract_y
_atom_site_fract_z
_atom_site_occupancy
Al1 Al 0.125 0.125 0.125 1
Cd1 Cd 0.250 0.250 0.750 1
Si1 Si 0.000 0.000 0.500 1
```

Results
Size of the total moment in μB per formula unit: 0.00
Density in g/cm³: 3.707
Formation energy (no corrections) in eV per atom: 0.305



[3]
Entry from the Alexandria database: a relaxed structure of CeInIr (GGA-PBE).

Geometry as CIF:
```
data_CeInIr
_chemical_formula_sum 'Ce3 In3 Ir3'
_space_group_name_H-M_alt 'P -6 2 m'
_space_group_IT_number 189
_space_group_name_Hall 'P -6 -2'
_cell_length_a 7.5755
_cell_length_b 7.5755
_cell_length_c 4.0125
_cell_angle_alpha 90.00
_cell_angle_beta 90.00
_cell_angle_gamma 120.00
loop_
_atom_site_label
_atom_site_type_symbol
_atom_site_fract_x
_atom_site_fract_y
_atom_site_fract_z
_atom_site_occupancy
Ce1 Ce 0.0000 0.5884 0.0000 1
In1 In 0.0000 0.2523 0.5000 1
Ir1 Ir 0.0000 0.0000 0.0000 1
Ir2 Ir 0.3333 0.6667 0.5000 1
```

Results
Size of the total moment in μB per formula unit: 0.00
Formation energy in eV/atom: -0.683
Density in g/cm³: 11.170